VASP calculation (GGA+U) on a relaxed VBi2IrF crystal.

## Properties
Space group: P4/mmm
Spin magnetization, Bohr magnetons per cell: 2.393
Uncorrected energy, eV for the cell shown: -25.2
Mass density, Mg/m³: 10.33

abc: 5.432 3.705 5.432
angles: 90.00 90.00 90.00
Last column: magnetic moment on the atom in μB.
Fractional coordinates of all 5 atoms:
F 0.000 0.500 0.000  -0.02
Ir 0.500 0.500 0.500  0.33
Bi 0.000 0.000 0.500  -0.05
Bi 0.500 0.000 0.000  -0.10
V 0.000 0.000 0.000  2.05